Record 1
This record from Alexandria via LeMat-Bulk describes an optimized crystal structure of TcTeBr2. The functional is PBE-GGA.

```
4
Lattice="3.5266 -1.9145 0.0000 3.5266 1.9145 0.0000 -0.2819 0.0000 8.7252" Properties=species:S:1:pos:R:3 pbc="T T T"
Tc 0.0000 0.0000 0.0000
Te 2.2751 0.0000 1.2379
Br 2.3551 0.0000 3.8158
Br 4.4817 0.0000 7.1677
```

Summary:
As for the space group: Cm, No. 8. The energy above the most stable polymorph in this dataset is 46.9 meV/atom.


Record 2
This record from Alexandria via LeMat-Bulk describes an optimized crystal structure of TcTe2Br. The functional is PBE-GGA.

```
4
Lattice="1.7055 0.9847 10.7140 -1.7055 0.9847 10.7140 0.0000 -1.9693 10.7140" Properties=species:S:1:pos:R:3 pbc="T T T"
Tc 0.0000 0.0000 0.0000
Te 0.0000 0.0000 15.8838
Te 0.0000 0.0000 23.2209
Br 0.0000 0.0000 8.8824
```

Summary:
As for the space group: R3m, No. 160. The energy above the most stable polymorph in this dataset is 334.5 meV/atom.


Record 3
This record from Alexandria via LeMat-Bulk describes an optimized crystal structure of TcTeBr2. The functional is PBE-GGA.

```
4
Lattice="5.4634 0.0000 0.0000 0.0000 5.4634 0.0000 0.0000 0.0000 3.3788" Properties=species:S:1:pos:R:3 pbc="T T T"
Tc 0.0000 0.0000 0.0000
Te 2.7317 2.7317 0.0000
Br 0.0000 2.7317 1.6894
Br 2.7317 0.0000 1.6894
```

Summary:
As for the space group: P4/mmm, No. 123. The energy above the most stable polymorph in this dataset is 994.3 meV/atom.


Record 4
This record from Alexandria via LeMat-Bulk describes an optimized crystal structure of TcTe2Br. The functional is PBE-GGA.

```
4
Lattice="3.3960 0.0000 0.0000 0.0000 4.7114 0.0000 0.0000 0.0000 6.7320" Properties=species:S:1:pos:R:3 pbc="T T T"
Tc 0.0000 0.0000 0.0000
Te 0.0000 2.3557 3.3660
Te 1.6980 2.3557 0.0000
Br 1.6980 0.0000 3.3660
```

Summary:
As for the space group: Pmmm, No. 47. The energy above the most stable polymorph in this dataset is 999.4 meV/atom.


Record 5
This record from Alexandria via LeMat-Bulk describes an optimized crystal structure of TcTeBr2. The functional is PBE-GGA.

```
4
Lattice="3.4012 0.0000 0.0000 0.0000 4.8297 0.0000 0.0000 0.0000 6.3573" Properties=species:S:1:pos:R:3 pbc="T T T"
Tc 0.0000 0.0000 0.0000
Te 1.7006 0.0000 3.1786
Br 0.0000 2.4148 3.1786
Br 1.7006 2.4148 0.0000
```

Summary:
As for the space group: Pmmm, No. 47. The energy above the most stable polymorph in this dataset is 765.8 meV/atom.


Record 6
This record from Alexandria via LeMat-Bulk describes an optimized crystal structure of TcTeBr2. The functional is PBE-GGA.

```
4
Lattice="2.6583 -6.9872 0.0000 2.6583 6.9872 0.0000 0.0000 0.0000 3.4644" Properties=species:S:1:pos:R:3 pbc="T T T"
Tc 0.0000 0.0000 0.0000
Te 2.6583 0.0000 0.0000
Br 2.6583 5.0913 1.7322
Br 2.6583 -5.0913 1.7322
```

Summary:
As for the space group: Cmmm, No. 65. The energy above the most stable polymorph in this dataset is 6.5 meV/atom.


Record 7
This record from Alexandria via LeMat-Bulk describes an optimized crystal structure of Tc2Te4Br. The functional is PBE-GGA.

```
7
Lattice="-2.7120 2.7120 7.7546 2.7120 -2.7120 7.7546 2.7120 2.7120 -7.7546" Properties=species:S:1:pos:R:3 pbc="T T T"
Tc 0.0000 0.0000 1.1606
Tc 0.0000 0.0000 14.3486
Te 2.7120 0.0000 0.0000
Te 0.0000 0.0000 3.6966
Te 0.0000 2.7120 0.0000
Te 0.0000 0.0000 11.8125
Br 0.0000 0.0000 7.7546
```

Summary:
As for the space group: I4/mmm, No. 139.


Record 8
This record from Alexandria via LeMat-Bulk describes an optimized crystal structure of TcTe4Br. The functional is PBE-GGA.

```
6
Lattice="0.0000 4.4590 4.4590 4.4590 0.0000 4.4590 4.4590 4.4590 0.0000" Properties=species:S:1:pos:R:3 pbc="T T T"
Tc 0.0000 0.0000 0.0000
Te 5.5761 3.3419 3.3419
Te 3.3419 5.5761 3.3419
Te 3.3419 3.3419 5.5761
Te 5.5761 5.5761 5.5761
Br 2.2295 2.2295 2.2295
```

Summary:
As for the space group: F-43m, No. 216. The energy above the most stable polymorph in this dataset is 971.2 meV/atom.


no.,uncorrected formation energy (kJ per mole of atoms),total magnetization (Bohr magnetons per cell)
1,-1,1.00
2,14,1.15
3,91,4.00
4,78,3.09
5,69,4.33
6,-5,1.56
7,68,0.56
8,80,4.39